Below is a relaxed structure of NiTe3Pd, with properties calculated at the GGA-PBEsol level.

Summary:
DOS(E_F): 1.022 states/eV/atom
Formation energy from raw total energies: 50.1 kJ/mol of atoms
Magnetic moment: 0.00 μB/atom
Electronic total energy: -0.1477 hartree per atom

abc: 4.919 4.919 4.919
angles: 90.00 90.00 90.00
Space group Pm-3m (No. 221)
Inequivalent atoms, fractional coordinates:
1 Ni 0.000 0.000 0.000 x1
2 Te 0.000 0.000 0.500 x3
3 Pd 0.500 0.500 0.500 x1



Below is a relaxed structure of Y2Ni2Pd, with properties calculated at the GGA-PBEsol level.

Summary:
DOS(E_F): 0.595 states/eV/atom
Magnetic moment: 0.00 μB/atom
Energy relative to the elements: -542 meV/atom
Electronic total energy: -0.2545 hartree per atom

abc: 6.980 6.980 3.647
angles: 90.00 90.00 90.00
Space group P4/mbm (No. 127)
Inequivalent atoms, fractional coordinates:
1 Y 0.181 0.319 0.000 x4
2 Ni 0.119 0.619 0.500 x4
3 Pd 0.000 0.000 0.500 x2



Below is a relaxed structure of Pm2NiPt, with properties calculated at the GGA-PBEsol level.

Summary:
DOS(E_F): 0.714 states/eV/atom
Magnetic moment: 0.00 μB/atom
Energy relative to the elements: -625 meV/atom
Electronic total energy: -0.2379 hartree per atom

abc: 6.951 6.951 6.951
angles: 90.00 90.00 90.00
Space group Fm-3m (No. 225)
Inequivalent atoms, fractional coordinates:
1 Pm 0.250 0.250 0.250 x8
2 Ni 0.000 0.000 0.000 x4
3 Pt 0.000 0.000 0.500 x4



Below is a relaxed structure of Pm2NiRu, with properties calculated at the GGA-PBEsol level.

Summary:
DOS(E_F): 0.739 states/eV/atom
Magnetic moment: 0.00 μB/atom
Energy relative to the elements: -165 meV/atom
Electronic total energy: -0.2505 hartree per atom

abc: 6.845 6.845 6.845
angles: 90.00 90.00 90.00
Space group Fm-3m (No. 225)
Inequivalent atoms, fractional coordinates:
1 Pm 0.250 0.250 0.250 x8
2 Ni 0.000 0.000 0.000 x4
3 Ru 0.000 0.000 0.500 x4



Below is a relaxed structure of Pm2SiNi, with properties calculated at the GGA-PBEsol level.

Summary:
DOS(E_F): 0.573 states/eV/atom
Formation energy from raw total energies: -36.3 kJ/mol of atoms
Magnetic moment: 0.00 μB/atom
Electronic total energy: -0.2176 hartree per atom

abc: 7.002 7.002 7.002
angles: 90.00 90.00 90.00
Space group Fm-3m (No. 225)
Inequivalent atoms, fractional coordinates:
1 Pm 0.250 0.250 0.250 x8
2 Si 0.000 0.000 0.000 x4
3 Ni 0.000 0.000 0.500 x4



Below is a relaxed structure of PrNi2, with properties calculated at the GGA-PBEsol level.

Summary:
DOS(E_F): 0.560 states/eV/atom
Magnetic moment: 0.00 μB/atom
Energy relative to the elements: -290 meV/atom
Electronic total energy: -0.2250 hartree per atom

abc: 7.220 7.220 7.220
angles: 90.00 90.00 90.00
Space group Fd-3m (No. 227, origin choice 2)
Inequivalent atoms, fractional coordinates:
1 Pr 0.125 0.125 0.125 x8
2 Ni 0.000 0.000 0.500 x16



Below is a relaxed structure of PrNi2Sb2, with properties calculated at the GGA-PBEsol level.

Summary:
DOS(E_F): 0.432 states/eV/atom
Formation energy from raw total energies: -66.6 kJ/mol of atoms
Magnetic moment: 0.00 μB/atom
Electronic total energy: -0.2210 hartree per atom

abc: 4.441 4.441 9.834
angles: 90.00 90.00 90.00
Space group P4/nmm (No. 129, origin choice 2)
Inequivalent atoms, fractional coordinates:
1 Pr 0.250 0.250 0.240 x2
2 Ni 0.250 0.250 0.623 x2
3 Ni 0.250 0.750 0.000 x2
4 Sb 0.250 0.250 0.875 x2
5 Sb 0.250 0.750 0.500 x2



Below is a relaxed structure of PrNiSb, with properties calculated at the GGA-PBEsol level.

Summary:
DOS(E_F): 0.417 states/eV/atom
Formation energy from raw total energies: -81.3 kJ/mol of atoms
Magnetic moment: 0.00 μB/atom
Electronic total energy: -0.2257 hartree per atom

abc: 4.3247 4.3247 8.2574
angles: 90.00 90.00 120.00
Space group P6_3/mmc (No. 194)
Inequivalent atoms, fractional coordinates:
1 Pr 0.0000 0.0000 0.0000 x2
2 Ni 0.3333 0.6667 0.2500 x2
3 Sb 0.3333 0.6667 0.7500 x2